# 1
{"formula": "CeY2Ir2", "functional": "PBE", "state": "optimized geometry", "total_magnetization_mub_per_cell": 0.0, "rho_g_cm3": 9.2, "formation_enthalpy_0k_ev_per_atom": -0.71, "lattice": [[5.620, 0.000, 0.000], [0.000, 4.286, 0.000], [-1.225, 0.000, 10.494]], "species": ["Ce", "Ce", "Y", "Y", "Y", "Y", "Ir", "Ir", "Ir", "Ir"], "frac_coords": [[0.129, 0.250, 0.375], [0.871, 0.750, 0.625], [0.235, 0.250, 0.040], [0.381, 0.250, 0.713], [0.619, 0.750, 0.287], [0.765, 0.750, 0.960], [0.109, 0.750, 0.191], [0.335, 0.750, 0.532], [0.665, 0.250, 0.468], [0.891, 0.250, 0.809]]}

***

# 2
{"formula": "Mg3HgPb", "functional": "PBE", "state": "optimized geometry", "total_magnetization_mub_per_cell": 0.0, "rho_g_cm3": 6.6, "relative_energy_mev_per_atom": 11.5, "formation_enthalpy_0k_ev_per_atom": -0.08, "lattice": [[7.122, 0.000, 0.000], [0.000, 7.122, 0.000], [0.000, 0.000, 7.122]], "species": ["Mg", "Mg", "Mg", "Mg", "Mg", "Mg", "Mg", "Mg", "Mg", "Hg", "Hg", "Hg", "Pb", "Pb", "Pb"], "frac_coords": [[0.000, 0.000, 0.000], [0.272, 0.272, 0.272], [0.272, 0.272, 0.728], [0.272, 0.728, 0.272], [0.272, 0.728, 0.728], [0.728, 0.272, 0.272], [0.728, 0.272, 0.728], [0.728, 0.728, 0.272], [0.728, 0.728, 0.728], [0.000, 0.500, 0.500], [0.500, 0.000, 0.500], [0.500, 0.500, 0.000], [0.000, 0.000, 0.500], [0.000, 0.500, 0.000], [0.500, 0.000, 0.000]]}

***

# 3
{"formula": "H7Pd3Rh", "functional": "PBE", "state": "optimized geometry", "total_magnetization_mub_per_cell": 0.0, "rho_g_cm3": 8.4, "dft_energy_ev_per_atom": -4.2469, "lattice": [[3.106, -3.087, 0.000], [3.106, 3.087, 0.000], [-3.032, 0.000, 4.403]], "species": ["H", "H", "H", "H", "H", "H", "H", "Pd", "Pd", "Pd", "Rh"], "frac_coords": [[0.000, 0.000, 0.000], [0.009, 0.529, 0.023], [0.248, 0.779, 0.509], [0.253, 0.253, 0.500], [0.529, 0.009, 0.023], [0.552, 0.552, 0.060], [0.779, 0.248, 0.509], [0.146, 0.637, 0.762], [0.402, 0.402, 0.270], [0.637, 0.146, 0.762], [0.901, 0.901, 0.253]]}

***

# 4
{"formula": "AcSmAs", "functional": "PBE", "state": "optimized geometry", "total_magnetization_mub_per_cell": 0.0, "rho_g_cm3": 7.7, "relative_energy_mev_per_atom": 146.8, "formation_enthalpy_0k_ev_per_atom": -0.58, "lattice": [[4.958, 0.000, 0.000], [-2.479, 4.293, 0.000], [0.000, 0.000, 4.576]], "species": ["Ac", "Sm", "As"], "frac_coords": [[0.000, 0.000, 0.000], [0.667, 0.333, 0.497], [0.333, 0.667, 0.422]]}

***

# 5
{"formula": "TcMo2Ru", "functional": "PBE", "state": "optimized geometry", "total_magnetization_mub_per_cell": 0.0, "rho_g_cm3": 10.8, "relative_energy_mev_per_atom": 0.0, "formation_enthalpy_0k_ev_per_atom": 0.10, "lattice": [[3.934, 0.000, 0.000], [0.000, 3.934, 0.000], [0.000, 0.000, 3.896]], "species": ["Tc", "Mo", "Mo", "Ru"], "frac_coords": [[0.000, 0.000, 0.000], [0.000, 0.500, 0.500], [0.500, 0.000, 0.500], [0.500, 0.500, 0.000]]}

***

# 6
{"formula": "PuHgGe2", "functional": "PBE", "state": "optimized geometry", "total_magnetization_mub_per_cell": 5.3, "rho_g_cm3": 11.5, "formation_enthalpy_0k_ev_per_atom": -0.24, "lattice": [[4.542, 0.000, 0.000], [0.000, 4.542, 0.000], [0.000, 0.000, 4.114]], "species": ["Pu", "Hg", "Ge", "Ge"], "frac_coords": [[0.000, 0.000, 0.000], [0.500, 0.500, 0.000], [0.000, 0.500, 0.500], [0.500, 0.000, 0.500]]}

***

# 7
{"formula": "ScMo2Rh", "functional": "PBE", "state": "optimized geometry", "total_magnetization_mub_per_cell": 0.0, "rho_g_cm3": 8.5, "relative_energy_mev_per_atom": 139.5, "formation_enthalpy_0k_ev_per_atom": -0.08, "lattice": [[-1.629, 2.350, 4.328], [1.629, -2.350, 4.328], [1.629, 2.350, -4.328]], "species": ["Sc", "Mo", "Mo", "Rh"], "frac_coords": [[0.000, 0.000, 0.000], [0.270, 0.770, 0.500], [0.492, 0.492, 0.000], [0.743, 0.243, 0.500]]}

***

# 8
{"formula": "K2BaOsO5", "functional": "PBE", "state": "optimized geometry", "total_magnetization_mub_per_cell": 0.0, "rho_g_cm3": 5.5, "raw_formation_energy_ev_per_atom": -1.67, "lattice": [[-1.929, 3.008, 6.377], [1.929, -3.008, 6.377], [1.929, 3.008, -6.377]], "species": ["K", "K", "Ba", "Os", "O", "O", "O", "O", "O"], "frac_coords": [[0.220, 0.220, 0.000], [0.780, 0.780, 0.000], [0.500, 0.000, 0.500], [0.000, 0.500, 0.500], [0.000, 0.000, 0.000], [0.125, 0.393, 0.732], [0.339, 0.607, 0.732], [0.661, 0.393, 0.268], [0.875, 0.607, 0.268]]}

***

# 9
{"formula": "Na8InHg6", "functional": "PBE", "state": "optimized geometry", "total_magnetization_mub_per_cell": 0.0, "rho_g_cm3": 5.7, "formation_enthalpy_0k_ev_per_atom": -0.17, "lattice": [[4.439, 2.563, 6.461], [-4.439, 2.563, 6.461], [0.000, -5.125, 6.461]], "species": ["Na", "Na", "Na", "Na", "Na", "Na", "Na", "Na", "In", "Hg", "Hg", "Hg", "Hg", "Hg", "Hg"], "frac_coords": [[0.056, 0.714, 0.382], [0.166, 0.166, 0.166], [0.286, 0.618, 0.944], [0.382, 0.056, 0.714], [0.618, 0.944, 0.286], [0.714, 0.382, 0.056], [0.834, 0.834, 0.834], [0.944, 0.286, 0.618], [0.500, 0.500, 0.500], [0.111, 0.449, 0.782], [0.218, 0.889, 0.551], [0.449, 0.782, 0.111], [0.551, 0.218, 0.889], [0.782, 0.111, 0.449], [0.889, 0.551, 0.218]]}

***

# 10
{"formula": "Np2H2Cl7", "functional": "PBE", "state": "optimized geometry", "total_magnetization_mub_per_cell": 9.0, "rho_g_cm3": 3.4, "dft_energy_ev_per_atom": -5.0625, "lattice": [[5.825, -4.146, 0.000], [5.825, 4.146, 0.000], [-0.966, 0.000, 7.286]], "species": ["Np", "Np", "H", "H", "Cl", "Cl", "Cl", "Cl", "Cl", "Cl", "Cl"], "frac_coords": [[0.240, 0.240, 0.038], [0.760, 0.760, 0.962], [0.206, 0.794, 0.500], [0.794, 0.206, 0.500], [0.000, 0.000, 0.000], [0.069, 0.502, 0.782], [0.437, 0.437, 0.219], [0.498, 0.931, 0.218], [0.502, 0.069, 0.782], [0.563, 0.563, 0.781], [0.931, 0.498, 0.218]]}

***

# 11
{"formula": "La6YAg5", "functional": "PBE", "state": "optimized geometry", "total_magnetization_mub_per_cell": 0.0, "rho_g_cm3": 7.0, "formation_enthalpy_0k_ev_per_atom": -0.17, "lattice": [[2.705, -8.289, 0.000], [2.705, 8.289, 0.000], [0.000, 0.000, 7.743]], "species": ["La", "La", "La", "La", "La", "La", "Y", "Ag", "Ag", "Ag", "Ag", "Ag"], "frac_coords": [[0.000, 0.000, 0.226], [0.000, 0.000, 0.774], [0.324, 0.676, 0.253], [0.324, 0.676, 0.747], [0.676, 0.324, 0.253], [0.676, 0.324, 0.747], [0.500, 0.500, 0.500], [0.144, 0.856, 0.500], [0.167, 0.833, 0.000], [0.500, 0.500, 0.000], [0.833, 0.167, 0.000], [0.856, 0.144, 0.500]]}

***

# 12
{"formula": "Tb3PaRh6", "functional": "PBE", "state": "optimized geometry", "total_magnetization_mub_per_cell": 0.0, "rho_g_cm3": 11.3, "formation_enthalpy_0k_ev_per_atom": -0.76, "lattice": [[9.066, 0.000, 0.000], [0.000, 4.398, 0.000], [-2.652, 0.000, 9.737]], "species": ["Tb", "Tb", "Tb", "Tb", "Tb", "Tb", "Pa", "Pa", "Rh", "Rh", "Rh", "Rh", "Rh", "Rh", "Rh", "Rh", "Rh", "Rh", "Rh", "Rh"], "frac_coords": [[0.039, 0.250, 0.390], [0.097, 0.750, 0.151], [0.331, 0.250, 0.966], [0.669, 0.750, 0.034], [0.903, 0.250, 0.849], [0.961, 0.750, 0.610], [0.430, 0.250, 0.607], [0.570, 0.750, 0.393], [0.123, 0.750, 0.882], [0.163, 0.250, 0.685], [0.243, 0.750, 0.489], [0.343, 0.250, 0.323], [0.384, 0.750, 0.775], [0.401, 0.750, 0.147], [0.599, 0.250, 0.853], [0.616, 0.250, 0.225], [0.657, 0.750, 0.677], [0.757, 0.250, 0.511], [0.837, 0.750, 0.315], [0.877, 0.250, 0.118]]}

***

# 13
{"formula": "LaScSb2Se", "functional": "PBE", "state": "optimized geometry", "total_magnetization_mub_per_cell": 0.0, "rho_g_cm3": 4.3, "raw_formation_energy_ev_per_atom": 0.84, "lattice": [[5.887, 0.000, 0.000], [0.000, 5.887, 0.000], [0.000, 0.000, 5.647]], "species": ["La", "Sc", "Sb", "Sb", "Se"], "frac_coords": [[0.000, 0.000, 0.000], [0.000, 0.000, 0.500], [0.000, 0.500, 0.000], [0.500, 0.000, 0.000], [0.500, 0.500, 0.500]]}